Record 1
Below is a relaxed Cs2BaNa2 crystal, with properties calculated at the GGA-PBE level.

Unit cell a=12.0885 b=12.0885 c=4.5299 alpha=90.00 beta=90.00 gamma=90.00
Closest atoms and distances in Å follow each position.
Sites, in units of the cell vectors:
1 Cs 0.3684 0.8684 0.0000  6 Na 4.03-4.36, 1 Cs 4.50
2 Cs 0.8684 0.6316 0.0000  6 Na 4.03-4.36, 1 Cs 4.50
3 Cs 0.6316 0.1316 0.0000  6 Na 4.03-4.36, 1 Cs 4.50
4 Cs 0.1316 0.3684 0.0000  6 Na 4.03-4.36, 1 Cs 4.50
5 Na 0.1734 0.6734 0.5000  6 Cs 4.03-4.36
6 Na 0.6734 0.8266 0.5000  6 Cs 4.03-4.36
7 Na 0.8266 0.3266 0.5000  6 Cs 4.03-4.36
8 Na 0.3266 0.1734 0.5000  6 Cs 4.03-4.36
9 Ba 0.0000 0.0000 0.0000  2 Ba 4.53, 4 Cs 4.73, 8 Na 5.01
10 Ba 0.5000 0.5000 0.0000  2 Ba 4.53, 4 Cs 4.73, 8 Na 5.01

Values from the calculation:
ΔE to the lowest computed polymorph   34 meV/atom
Volume   66.20 Å³ per atom
Energy   -1.1216 eV/atom
Formation enthalpy at 0 K   0.13 eV per atom
D(E_F)   9.83 states/eV per cell
ρ   2.25 g cm⁻³



Record 2
Below is a relaxed In2AgCl crystal, with properties calculated at the GGA-PBE level.

Unit cell a=3.4990 b=3.4990 c=8.6150 alpha=90.00 beta=90.00 gamma=109.77
Closest atoms and distances in Å follow each position.
Sites, in units of the cell vectors:
1 Cl 0.5000 0.5000 0.7210  2 Ag 2.71
2 Ag 0.0000 0.0000 0.5095  2 Cl 2.71, 2 In 2.82
3 In 0.0000 0.0000 0.9897  2 Cl 3.07, 2 In 3.21
4 In 0.5000 0.5000 0.2798  2 Ag 2.82

Values from the calculation:
ΔE to the lowest computed polymorph   112 meV/atom
Volume   24.81 Å³ per atom
Energy   -2.7148 eV/atom
D(E_F)   1.17 states/eV per cell
ρ   6.24 g cm⁻³
Formation energy without anion corrections   -0.171 eV per atom



Record 3
Below is a relaxed Ca2HoCu2Se4 crystal, with properties calculated at the GGA-PBE level.

Unit cell a=3.9205 b=7.4261 c=7.6410 alpha=112.04 beta=104.87 gamma=90.00
Closest atoms and distances in Å follow each position.
Sites, in units of the cell vectors:
1 Ca 0.1342 0.5835 0.2685  7 Se 2.96-3.29, 1 Cu 3.10
2 Ca 0.8658 0.4165 0.7315  7 Se 2.96-3.29, 1 Cu 3.10
3 Ho 0.0000 0.0000 0.0000  6 Se 2.86
4 Cu 0.6906 0.0138 0.3811  3 Se 2.49-2.53, 2 Cu 2.69
5 Cu 0.3094 0.9862 0.6189  3 Se 2.49-2.53, 2 Cu 2.69
6 Se 0.2055 0.2397 0.4111  2 Cu 2.53
7 Se 0.7945 0.7603 0.5889  2 Cu 2.53
8 Se 0.5251 0.7420 0.0501  1 Cu 2.49
9 Se 0.4749 0.2580 0.9499  1 Cu 2.49

Values from the calculation:
Volume   22.02 Å³ per atom
Energy   -4.6340 eV/atom
D(E_F)   3.40 states/eV per cell
ρ   5.77 g cm⁻³
Formation energy without anion corrections   -1.222 eV per atom



Record 4
Below is a relaxed NaAcAuSe crystal, with properties calculated at the GGA-PBE level.

Unit cell a=5.3278 b=5.3278 c=5.3278 alpha=60.00 beta=60.00 gamma=60.00
Closest atoms and distances in Å follow each position.
Sites, in units of the cell vectors:
1 Na 0.5000 0.5000 0.5000  4 Se 3.26, 4 Au 3.26
2 Ac 0.0000 0.0000 0.0000  4 Au 3.26, 4 Se 3.26
3 Au 0.7500 0.7500 0.7500  4 Na 3.26, 4 Ac 3.26
4 Se 0.2500 0.2500 0.2500  4 Ac 3.26, 4 Na 3.26

Values from the calculation:
Volume   26.73 Å³ per atom
Energy   -4.0006 eV/atom
D(E_F)   4.40 states/eV per cell
ρ   8.17 g cm⁻³
Formation energy without anion corrections   -0.953 eV per atom



Record 5
Below is a relaxed La3InCo crystal, with properties calculated at the GGA-PBE level.

Unit cell a=5.6792 b=6.7364 c=9.3108 alpha=110.16 beta=90.13 gamma=114.80
Closest atoms and distances in Å follow each position.
Sites, in units of the cell vectors:
1 La 0.3694 0.7396 0.0809  3 Co 2.76-2.85
2 La 0.1529 0.3038 0.6511  1 Co 2.79
3 La 0.8963 0.7922 0.7711  2 Co 2.64-2.84
4 La 0.1037 0.2078 0.2289  2 Co 2.64-2.84
5 La 0.6306 0.2604 0.9191  3 Co 2.76-2.85
6 La 0.8471 0.6962 0.3489  1 Co 2.79
7 In 0.6010 0.2003 0.4456  1 In 2.99
8 In 0.3990 0.7997 0.5544  1 In 2.99
9 Co 0.8733 0.7476 0.0639  6 La 2.64-2.85
10 Co 0.1267 0.2524 0.9361  6 La 2.64-2.85

Values from the calculation:
ΔE to the lowest computed polymorph   26 meV/atom
Volume   29.90 Å³ per atom
Energy   -5.1909 eV/atom
Formation enthalpy at 0 K   -0.27 eV per atom
D(E_F)   9.27 states/eV per cell
ρ   6.56 g cm⁻³



Record 6
Below is a relaxed KCr3 crystal, with properties calculated at the GGA-PBE level.

Unit cell a=4.6669 b=4.6669 c=4.6669 alpha=90.00 beta=90.00 gamma=90.00
Closest atoms and distances in Å follow each position.
Sites, in units of the cell vectors:
1 Cr 0.0000 0.5000 0.5000  8 Cr 3.30, 4 K 3.30
2 Cr 0.5000 0.0000 0.5000  8 Cr 3.30, 4 K 3.30
3 Cr 0.5000 0.5000 0.0000  8 Cr 3.30, 4 K 3.30
4 K 0.0000 0.0000 0.0000  12 Cr 3.30

Values from the calculation:
ΔE to the lowest computed polymorph   884 meV/atom
Volume   25.41 Å³ per atom
Energy   -5.8138 eV/atom
Formation enthalpy at 0 K   1.68 eV per atom
D(E_F)   4.41 states/eV per cell
ρ   3.19 g cm⁻³